Record 1
{"formula": "YTi2Cr", "functional": "PBE-GGA", "state": "optimized geometry", "cell": [[-1.767, -6.373, -0.980], [1.169, -1.316, 6.450], [-4.786, -2.760, 3.770]], "species": ["Ti", "Ti", "Ti", "Ti", "Cr", "Cr", "Y", "Y"], "frac_coords": [[0.875, 0.625, 0.750], [0.375, 0.625, 0.250], [0.375, 0.625, 0.750], [0.375, 0.125, 0.250], [0.250, 0.750, 0.500], [0.500, 0.500, 0.000], [0.000, 0.000, 0.000], [0.750, 0.250, 0.500]], "ef_ev_per_atom": 1.14, "final_energy_ev_per_fu": -27.30, "dos_at_fermi_per_ev_cell": 16.942, "density_g_cm3": 3.72, "magnetic_moment_mub_per_fu": 0.0, "sg": "Fd-3m, No. 227", "polymorph_energy_mev_per_atom": 672}

Record 2
{"formula": "CaGa2Au10", "functional": "PBE-GGA", "state": "optimized geometry", "cell": [[-4.483, -1.117, -3.258], [1.950, -2.176, -6.842], [-2.149, -6.698, 0.350]], "species": ["Au", "Au", "Au", "Au", "Au", "Au", "Au", "Au", "Au", "Au", "Ga", "Ga", "Ca"], "frac_coords": [[0.669, 0.340, 0.323], [0.991, 0.340, 0.677], [0.507, 0.769, 0.217], [0.009, 0.660, 0.323], [0.276, 0.231, 0.217], [0.724, 0.769, 0.783], [0.000, 0.000, 0.500], [0.331, 0.660, 0.677], [0.500, 0.000, 0.500], [0.493, 0.231, 0.783], [0.000, 0.500, 0.000], [0.500, 0.500, 0.000], [0.000, 0.000, 0.000]], "ef_ev_per_atom": -0.23, "final_energy_ev_per_fu": -43.77, "dos_at_fermi_per_ev_cell": 4.114, "density_g_cm3": 14.22, "magnetic_moment_mub_per_fu": 0.0, "sg": "Fmmm, No. 69"}

Record 3
{"formula": "Li5Cd8Ag", "functional": "PBE-GGA", "state": "optimized geometry", "cell": [[-5.242, 2.009, 4.484], [2.097, -6.681, 1.609], [5.574, 4.484, 0.666]], "species": ["Cd", "Cd", "Cd", "Cd", "Cd", "Cd", "Cd", "Cd", "Li", "Li", "Li", "Li", "Li", "Ag"], "frac_coords": [[0.508, 0.599, 0.240], [0.760, 0.267, 0.359], [0.932, 0.067, 0.653], [0.585, 0.933, 0.864], [0.347, 0.279, 0.415], [0.136, 0.721, 0.068], [0.092, 0.733, 0.492], [0.641, 0.401, 0.908], [0.021, 0.320, 0.107], [0.300, 0.087, 0.979], [0.787, 0.680, 0.700], [0.500, 0.000, 0.500], [0.893, 0.913, 0.213], [0.250, 0.500, 0.750]], "ef_ev_per_atom": -0.11, "final_energy_ev_per_fu": -21.23, "dos_at_fermi_per_ev_cell": 2.761, "density_g_cm3": 6.06, "magnetic_moment_mub_per_fu": 0.0, "sg": "I-4, No. 82"}

Record 4
{"formula": "ZrTa3", "functional": "PBE-GGA", "state": "optimized geometry", "cell": [[-4.779, 1.487, 0.202], [-1.263, -3.623, -3.219], [-0.810, -3.122, 3.832]], "species": ["Ta", "Ta", "Ta", "Zr"], "frac_coords": [[0.000, 0.500, 0.000], [0.000, 0.000, 0.500], [0.500, 0.000, 0.000], [0.000, 0.000, 0.000]], "ef_ev_per_atom": 2.94, "final_energy_ev_per_fu": -32.35, "dos_at_fermi_per_ev_cell": 8.773, "density_g_cm3": 8.38, "magnetic_moment_mub_per_fu": 2.1, "sg": "Pm-3m, No. 221", "polymorph_energy_mev_per_atom": 2857}

Record 5
{"formula": "Li5BiPd6", "functional": "PBE-GGA", "state": "optimized geometry", "cell": [[7.630, 0.406, 0.003], [2.276, 3.704, 0.004], [1.141, 1.858, 6.467]], "species": ["Pd", "Pd", "Pd", "Pd", "Pd", "Pd", "Li", "Li", "Li", "Li", "Li", "Bi"], "frac_coords": [[0.735, 0.438, 0.657], [0.269, 0.231, 0.000], [0.265, 0.562, 0.343], [0.735, 0.093, 0.343], [0.265, 0.907, 0.657], [0.731, 0.769, 0.000], [0.000, 0.328, 0.342], [0.500, 0.500, 0.000], [0.500, 0.835, 0.329], [0.000, 0.672, 0.658], [0.500, 0.165, 0.671], [0.000, 0.000, 0.000]], "ef_ev_per_atom": -0.44, "final_energy_ev_per_fu": -49.88, "dos_at_fermi_per_ev_cell": 3.596, "density_g_cm3": 8.29, "magnetic_moment_mub_per_fu": 0.0, "sg": "P-1, No. 2"}

Record 6
{"formula": "PuHf4Sc8", "functional": "PBE-GGA", "state": "optimized geometry", "cell": [[-7.634, 2.895, 3.247], [-3.637, 0.766, 7.962], [-2.606, 6.596, 5.188]], "species": ["Hf", "Hf", "Hf", "Hf", "Sc", "Sc", "Sc", "Sc", "Sc", "Sc", "Sc", "Sc", "Pu"], "frac_coords": [[0.000, 0.000, 0.000], [0.500, 0.000, 0.500], [0.500, 0.500, 0.000], [0.000, 0.500, 0.500], [0.210, 0.737, 0.737], [0.790, 0.263, 0.263], [0.263, 0.263, 0.790], [0.263, 0.790, 0.263], [0.737, 0.210, 0.737], [0.737, 0.737, 0.210], [0.778, 0.778, 0.778], [0.222, 0.222, 0.222], [0.500, 0.500, 0.500]], "ef_ev_per_atom": 0.33, "final_energy_ev_per_fu": -100.50, "dos_at_fermi_per_ev_cell": 19.742, "density_g_cm3": 7.45, "magnetic_moment_mub_per_fu": 0.0, "sg": "R-3m, No. 166"}